1.
Below is a relaxed structure of Zn3ReCl, with properties calculated at the PBEsol level.

Computed properties:
uncorrected formation energy	714	kJ/mol of formula units
E_tot	-2.54	eV/atom

abc: 4.4356 4.4356 4.4356
angles: 90.00 90.00 90.00
Sites, in units of the cell vectors:
Zn 0.0000 0.0000 0.5000
Zn 0.0000 0.5000 0.0000
Zn 0.5000 0.0000 0.0000
Re 0.5000 0.5000 0.5000
Cl 0.0000 0.0000 0.0000



2.
Below is a relaxed structure of ZrRe4Cl, with properties calculated at the PBEsol level.

Computed properties:
uncorrected formation energy	360	kJ/mol of formula units
E_tot	-10.12	eV/atom

abc: 5.2467 5.2467 5.2467
angles: 60.00 60.00 60.00
Sites, in units of the cell vectors:
Zr 0.0000 0.0000 0.0000
Re 0.1262 0.6246 0.6246
Re 0.6246 0.1262 0.6246
Re 0.6246 0.6246 0.1262
Re 0.6246 0.6246 0.6246
Cl 0.2500 0.2500 0.2500



3.
Below is a relaxed structure of Zr4ReCl, with properties calculated at the PBEsol level.

Computed properties:
uncorrected formation energy	459	kJ/mol of formula units
E_tot	-7.82	eV/atom

abc: 5.5388 5.5388 5.5388
angles: 60.00 60.00 60.00
Sites, in units of the cell vectors:
Zr 0.3775 0.3775 0.3775
Zr 0.3775 0.3775 0.8674
Zr 0.3775 0.8674 0.3775
Zr 0.8674 0.3775 0.3775
Re 0.7500 0.7500 0.7500
Cl 0.0000 0.0000 0.0000



4.
Below is a relaxed structure of ZrReCl2, with properties calculated at the PBEsol level.

Computed properties:
uncorrected formation energy	-140	kJ/mol of formula units
E_tot	-6.97	eV/atom

abc: 2.9924 2.9924 8.2126
angles: 90.00 90.00 90.00
Sites, in units of the cell vectors:
Zr 0.0000 0.0000 0.0000
Re 0.5000 0.5000 0.7507
Cl 0.0000 0.0000 0.5698
Cl 0.5000 0.5000 0.2026



5.
Below is a relaxed structure of ZrReCl2, with properties calculated at the PBEsol level.

Computed properties:
uncorrected formation energy	-139	kJ/mol of formula units
E_tot	-6.97	eV/atom

abc: 12.3022 3.1322 4.4704
angles: 90.00 94.10 90.00
Sites, in units of the cell vectors:
Zr 0.0000 0.0000 0.0000
Zr 0.5000 0.5000 0.0000
Re 0.0000 0.5000 0.5000
Re 0.5000 0.0000 0.5000
Cl 0.1580 0.5000 0.2269
Cl 0.3420 0.0000 0.7731
Cl 0.6580 0.0000 0.2269
Cl 0.8420 0.5000 0.7731



6.
Below is a relaxed structure of RhCl2, with properties calculated at the PBEsol level.

Computed properties:
uncorrected formation energy	65	kJ/mol of formula units
E_tot	-3.83	eV/atom

abc: 3.0714 3.0714 11.7297
angles: 90.00 90.00 90.00
Sites, in units of the cell vectors:
Rh 0.0000 0.0000 0.0000
Rh 0.5000 0.5000 0.5000
Cl 0.0000 0.0000 0.3766
Cl 0.0000 0.0000 0.6234
Cl 0.5000 0.5000 0.1234
Cl 0.5000 0.5000 0.8766